VASP calculation (PBE) on a relaxed structure of PmNiI2.

Structure (CIF):
```
data_PmNiI2
_chemical_formula_sum 'Pm3 Ni3 I6'
_cell_length_a 3.9583
_cell_length_b 3.9583
_cell_length_c 27.6297
_cell_angle_alpha 90.00
_cell_angle_beta 90.00
_cell_angle_gamma 120.00
_symmetry_space_group_name_H-M 'R -3 m'
_symmetry_Int_Tables_number 166
_symmetry_space_group_name_Hall '-R 3 2"'
loop_
_atom_site_label
_atom_site_fract_x
_atom_site_fract_y
_atom_site_fract_z
Pm1 0.0000 0.0000 0.0000
Ni1 0.0000 0.0000 0.5000
I1 0.0000 0.0000 0.1119
```

Formation energy (no corrections) (eV per atom): -0.0795
VASP energy (eV/f.u.): -13.950
Calculated volume (Å³/f.u.): 125
DOS(E_F) (states/eV/atom): 1.114